Below is a geometry-optimized Zn2CrCo2 structure, with properties calculated at the PBE level.

Values from the calculation:
Space-group type: I4/mmm, No. 139
Energy, eV per atom: -5.258
Total magnetization, μB per formula unit: 2.227
ρ, g/cm³: 8.166
Formation energy from the elements, meV per atom: 19
E above lowest polymorph, meV/atom: 0

The structure in extended XYZ format:
```
5
Lattice="-1.3914 1.3914 7.8962 1.3914 -1.3914 7.8962 1.3914 1.3914 -7.8962" Properties=species:S:1:pos:R:3 pbc="T T T"
Zn 0.0000 0.0000 2.9961
Zn 0.0000 0.0000 12.7962
Cr 0.0000 0.0000 0.0000
Co 0.0000 0.0000 6.4961
Co 0.0000 0.0000 9.2962
```

---

Below is a geometry-optimized SrTaCoN3 structure, with properties calculated at the PBE level.

Values from the calculation:
Space-group type: P2_1/m, No. 11
Energy, eV per atom: -8.307
Total magnetization, μB per formula unit: 0.000
ρ, g/cm³: 7.600
Energy relative to the elements, uncorrected, eV per atom: -0.704

The structure in extended XYZ format:
```
12
Lattice="6.9807 0.0000 0.0000 0.0000 3.2048 0.0000 -2.3085 0.0000 7.2174" Properties=species:S:1:pos:R:3 pbc="T T T"
Sr 0.9228 0.8012 1.6508
Sr 3.7495 2.4036 5.5666
Ta 0.3007 2.4036 6.1792
Ta 4.3716 0.8012 1.0382
Co -0.7751 0.8012 4.3353
Co 5.4473 2.4036 2.8820
N -1.0557 0.8012 6.2584
N 0.1378 2.4036 3.8620
N 2.8508 2.4036 1.0212
N 1.8214 0.8012 6.1962
N 4.5345 0.8012 3.3554
N 5.7280 2.4036 0.9590
```

---

Below is a geometry-optimized CaNi2Pb structure, with properties calculated at the PBE level.

Values from the calculation:
Space-group type: I-42d, No. 122
Energy, eV per atom: -4.121
Total magnetization, μB per formula unit: 0.000
ρ, g/cm³: 6.237
Formation energy from the elements, meV per atom: 198

The structure in extended XYZ format:
```
8
Lattice="-2.3369 2.3369 8.8884 2.3369 -2.3369 8.8884 2.3369 2.3369 -8.8884" Properties=species:S:1:pos:R:3 pbc="T T T"
Ca 0.0000 0.0000 0.0000
Ca 0.0000 2.3369 4.4442
Ni 1.1685 -0.2229 6.6663
Ni 2.1140 1.1685 2.2221
Ni 1.1685 2.5598 -2.2221
Ni 0.2229 1.1685 11.1105
Pb 2.3369 0.0000 4.4442
Pb 0.0000 0.0000 8.8884
```